RbHN2: relaxed, PBE.

a = 5.508 Å, b = 5.508 Å, c = 5.508 Å
α = 34.67°, β = 34.67°, γ = 34.67°
Fractional coordinates of all 4 atoms:
Rb: 0.000 0.000 0.000
H: 0.500 0.500 0.500
N: 0.181 0.181 0.181
N: 0.819 0.819 0.819

Properties
Calculated total energy   -3.551 eV/atom
Distance to the lowest polymorph of the same formula   4 meV per atom
Magnetic moment   0.000 μB per cell

RbH12N3: relaxed, PBE.

a = 9.361 Å, b = 9.361 Å, c = 9.361 Å
α = 60.99°, β = 60.99°, γ = 60.99°
Fractional coordinates of all 32 atoms:
Rb: 0.000 0.000 0.000
Rb: 0.500 0.500 0.500
H: 0.044 0.365 0.046
H: 0.045 0.548 0.549
H: 0.045 0.865 0.547
H: 0.046 0.044 0.365
H: 0.046 0.546 0.365
H: 0.046 0.546 0.865
H: 0.047 0.365 0.545
H: 0.048 0.545 0.049
H: 0.049 0.048 0.545
H: 0.365 0.046 0.044
H: 0.365 0.046 0.546
H: 0.365 0.545 0.047
H: 0.544 0.546 0.865
H: 0.545 0.047 0.365
H: 0.545 0.049 0.048
H: 0.546 0.365 0.046
H: 0.546 0.865 0.046
H: 0.546 0.865 0.544
H: 0.547 0.045 0.865
H: 0.548 0.549 0.045
H: 0.549 0.045 0.548
H: 0.865 0.046 0.546
H: 0.865 0.544 0.546
H: 0.865 0.547 0.045
N: 0.001 0.001 0.501
N: 0.001 0.501 0.001
N: 0.001 0.501 0.501
N: 0.501 0.001 0.001
N: 0.501 0.001 0.501
N: 0.501 0.501 0.001

Properties
Calculated total energy   -4.135 eV/atom
Magnetic moment   0.000 μB per cell

RbH2N: relaxed, PBE.

a = 4.335 Å, b = 4.335 Å, c = 4.335 Å
α = 60.00°, β = 60.00°, γ = 60.00°
Fractional coordinates of all 4 atoms:
Rb: 0.000 0.000 0.000
H: 0.250 0.250 0.250
H: 0.750 0.750 0.750
N: 0.500 0.500 0.500

Properties
Calculated total energy   -2.309 eV/atom
Distance to the lowest polymorph of the same formula   2040 meV per atom
Magnetic moment   0.674 μB per cell

Rb2H5N2: relaxed, PBE.

a = 6.044 Å, b = 6.044 Å, c = 8.012 Å
α = 97.63°, β = 97.63°, γ = 27.98°
Fractional coordinates of all 9 atoms:
Rb: 0.146 0.146 0.265
Rb: 0.854 0.854 0.735
H: 0.117 0.117 0.582
H: 0.403 0.403 0.285
H: 0.500 0.500 0.500
H: 0.597 0.597 0.715
H: 0.883 0.883 0.418
N: 0.395 0.395 0.412
N: 0.605 0.605 0.588

Properties
Calculated total energy   -3.830 eV/atom
Magnetic moment   0.000 μB per cell